Model one:
A relaxed structure of AgHg2Pd4, computed with PBE.

abc: 5.722 5.722 5.722
angles: 89.11 120.52 120.52
Sites, in units of the cell vectors:
Ag (0.000, 0.000, 0.000)
Hg (0.500, 0.500, 0.000)
Hg (0.500, 0.000, 0.500)
Pd (0.500, 0.000, 0.000)
Pd (0.500, 0.500, 0.500)
Pd (0.000, 0.000, 0.500)
Pd (0.000, 0.500, 0.000)

Model two:
A relaxed structure of AgHg2Pd4, computed with PBE.

abc: 7.118 7.125 7.125
angles: 121.55 119.46 89.13
Sites, in units of the cell vectors:
Ag (0.091, 0.590, 0.498)
Ag (0.159, 0.160, 0.001)
Hg (0.484, 0.375, 0.609)
Hg (0.766, 0.875, 0.391)
Hg (0.625, 0.327, 0.202)
Hg (0.126, 0.423, 0.798)
Pd (0.988, 0.109, 0.260)
Pd (0.401, 0.641, 0.379)
Pd (0.850, 0.728, 0.740)
Pd (0.708, 0.125, 0.804)
Pd (0.321, 0.905, 0.196)
Pd (0.261, 0.021, 0.622)
Pd (0.542, 0.845, 0.916)
Pd (0.929, 0.626, 0.083)

Stability, highest: model two

Model one:
A relaxed structure of Ag2HgPd4, computed with PBE.

abc: 6.886 5.224 7.587
angles: 90.00 116.16 90.00
Sites, in units of the cell vectors:
Ag (0.778, 0.750, 0.003)
Ag (0.222, 0.250, 0.997)
Ag (0.385, 0.250, 0.430)
Ag (0.615, 0.750, 0.570)
Hg (0.237, 0.750, 0.205)
Hg (0.763, 0.250, 0.795)
Pd (0.620, 0.498, 0.239)
Pd (0.049, 0.750, 0.803)
Pd (0.951, 0.250, 0.197)
Pd (0.620, 0.002, 0.239)
Pd (0.982, 0.250, 0.567)
Pd (0.380, 0.998, 0.761)
Pd (0.380, 0.502, 0.761)
Pd (0.018, 0.750, 0.433)

Model two:
A relaxed structure of Ag2HgPd4, computed with PBE.

abc: 4.690 4.817 11.105
angles: 90.00 90.00 90.00
Sites, in units of the cell vectors:
Ag (0.500, 0.733, 0.815)
Ag (0.500, 0.267, 0.185)
Ag (0.500, 0.233, 0.685)
Ag (0.500, 0.767, 0.315)
Hg (0.000, 0.000, 0.500)
Hg (0.000, 0.500, 0.000)
Pd (0.000, 0.566, 0.681)
Pd (0.000, 0.434, 0.319)
Pd (0.000, 0.066, 0.819)
Pd (0.000, 0.934, 0.181)
Pd (0.500, 0.738, 0.563)
Pd (0.500, 0.262, 0.437)
Pd (0.500, 0.762, 0.063)
Pd (0.500, 0.238, 0.937)

Stability, highest: model one

Model one:
A relaxed structure of AgHgPd, computed with PBE.

abc: 5.512 4.623 4.622
angles: 89.54 89.57 33.73
Sites, in units of the cell vectors:
Ag (0.000, 0.000, 0.500)
Hg (0.000, 0.500, 0.000)
Pd (0.500, 0.500, 0.000)

Model two:
A relaxed structure of AgHgPd, computed with PBE.

abc: 3.045 6.041 6.324
angles: 102.63 103.93 90.00
Sites, in units of the cell vectors:
Ag (0.837, 0.172, 0.675)
Ag (0.163, 0.828, 0.325)
Hg (0.845, 0.680, 0.690)
Hg (0.155, 0.320, 0.310)
Pd (0.500, 0.500, 0.000)
Pd (0.500, 0.000, 0.000)

Model three:
A relaxed structure of AgHgPd, computed with PBE.

abc: 3.490 3.490 5.123
angles: 109.91 109.91 90.00
Sites, in units of the cell vectors:
Ag (0.613, 0.613, 0.226)
Hg (0.287, 0.287, 0.574)
Pd (0.950, 0.950, 0.899)

Stability, highest: model two

Model one:
A relaxed structure of Ag6HgPd2, computed with PBE.

abc: 7.263 7.613 7.263
angles: 64.25 85.98 64.25
Sites, in units of the cell vectors:
Ag (0.429, 0.528, 0.676)
Ag (0.324, 0.972, 0.571)
Ag (0.571, 0.472, 0.324)
Ag (0.676, 0.028, 0.429)
Ag (0.905, 0.143, 0.639)
Ag (0.361, 0.357, 0.095)
Ag (0.095, 0.857, 0.361)
Ag (0.639, 0.643, 0.905)
Ag (0.226, 0.801, 0.999)
Ag (0.001, 0.699, 0.774)
Ag (0.774, 0.199, 0.001)
Ag (0.999, 0.301, 0.226)
Hg (0.856, 0.750, 0.144)
Hg (0.144, 0.250, 0.856)
Pd (0.445, 0.919, 0.212)
Pd (0.788, 0.581, 0.555)
Pd (0.555, 0.081, 0.788)
Pd (0.212, 0.419, 0.445)

Model two:
A relaxed structure of Ag6HgPd2, computed with PBE.

abc: 2.988 6.404 9.561
angles: 63.54 81.01 76.51
Sites, in units of the cell vectors:
Ag (0.672, 0.540, 0.116)
Ag (0.328, 0.460, 0.884)
Ag (0.330, 0.782, 0.559)
Ag (0.998, 0.667, 0.337)
Ag (0.002, 0.333, 0.663)
Ag (0.670, 0.218, 0.441)
Hg (0.000, 0.000, 0.000)
Pd (0.337, 0.106, 0.221)
Pd (0.663, 0.894, 0.779)

Stability, highest: model two

Model one:
A relaxed structure of AgHg2Pd2, computed with PBE.

abc: 4.551 4.551 10.852
angles: 90.00 90.00 120.00
Sites, in units of the cell vectors:
Ag (0.000, 0.000, 0.250)
Ag (0.000, 0.000, 0.750)
Hg (0.333, 0.667, 0.602)
Hg (0.667, 0.333, 0.102)
Hg (0.667, 0.333, 0.398)
Hg (0.333, 0.667, 0.898)
Pd (0.667, 0.333, 0.750)
Pd (0.000, 0.000, 0.000)
Pd (0.000, 0.000, 0.500)
Pd (0.333, 0.667, 0.250)

Model two:
A relaxed structure of AgHg2Pd2, computed with PBE.

abc: 3.860 3.860 7.383
angles: 74.85 74.85 90.00
Sites, in units of the cell vectors:
Pd (0.750, 0.250, 0.500)
Pd (0.250, 0.750, 0.500)
Hg (0.397, 0.397, 0.206)
Hg (0.603, 0.603, 0.794)
Ag (0.000, 0.000, 0.000)

Stability, highest: model one

Model one:
A relaxed structure of AgHg2Pd2, computed with PBE.

abc: 7.621 7.621 3.306
angles: 90.00 90.00 90.00
Sites, in units of the cell vectors:
Pd (0.369, 0.869, 0.000)
Pd (0.869, 0.631, 0.000)
Pd (0.631, 0.131, 0.000)
Pd (0.131, 0.369, 0.000)
Hg (0.167, 0.667, 0.500)
Hg (0.667, 0.833, 0.500)
Hg (0.833, 0.333, 0.500)
Hg (0.333, 0.167, 0.500)
Ag (0.000, 0.000, 0.000)
Ag (0.500, 0.500, 0.000)

Model two:
A relaxed structure of AgHg2Pd2, computed with PBE.

abc: 4.086 4.086 6.964
angles: 72.94 72.94 90.00
Sites, in units of the cell vectors:
Pd (0.399, 0.399, 0.203)
Pd (0.601, 0.601, 0.797)
Hg (0.750, 0.250, 0.500)
Hg (0.250, 0.750, 0.500)
Ag (0.000, 0.000, 0.000)

Stability, highest: model one

Model one:
A relaxed structure of Ag2Hg3Pd8, computed with PBE.

abc: 5.234 5.234 10.639
angles: 75.76 75.76 60.00
Sites, in units of the cell vectors:
Ag (0.642, 0.642, 0.074)
Ag (0.358, 0.358, 0.926)
Hg (0.000, 0.000, 0.000)
Hg (0.818, 0.818, 0.545)
Hg (0.182, 0.182, 0.455)
Pd (0.729, 0.729, 0.812)
Pd (0.271, 0.271, 0.188)
Pd (0.231, 0.733, 0.303)
Pd (0.733, 0.231, 0.303)
Pd (0.733, 0.733, 0.303)
Pd (0.267, 0.769, 0.697)
Pd (0.769, 0.267, 0.697)
Pd (0.267, 0.267, 0.697)

Model two:
A relaxed structure of Ag2Hg3Pd8, computed with PBE.

abc: 4.949 7.545 7.508
angles: 94.31 77.48 122.34
Sites, in units of the cell vectors:
Ag (0.374, 0.719, 0.704)
Ag (0.626, 0.281, 0.296)
Hg (0.500, 0.000, 0.000)
Hg (0.836, 0.722, 0.231)
Hg (0.164, 0.278, 0.769)
Pd (0.207, 0.429, 0.427)
Pd (0.793, 0.571, 0.573)
Pd (0.932, 0.853, 0.853)
Pd (0.068, 0.147, 0.147)
Pd (0.721, 0.431, 0.929)
Pd (0.410, 0.860, 0.362)
Pd (0.590, 0.140, 0.638)
Pd (0.279, 0.569, 0.071)

Stability, highest: model two

Model one:
A relaxed structure of Ag2HgPd2, computed with PBE.

abc: 7.753 7.753 3.061
angles: 90.00 90.00 90.00
Sites, in units of the cell vectors:
Pd (0.167, 0.667, 0.500)
Pd (0.667, 0.833, 0.500)
Pd (0.833, 0.333, 0.500)
Pd (0.333, 0.167, 0.500)
Hg (0.000, 0.000, 0.000)
Hg (0.500, 0.500, 0.000)
Ag (0.370, 0.870, 0.000)
Ag (0.870, 0.630, 0.000)
Ag (0.630, 0.130, 0.000)
Ag (0.130, 0.370, 0.000)

Model two:
A relaxed structure of Ag2HgPd2, computed with PBE.

abc: 3.011 4.979 7.121
angles: 60.81 90.13 107.84
Sites, in units of the cell vectors:
Ag (0.399, 0.298, 0.409)
Ag (0.601, 0.702, 0.591)
Hg (0.000, 0.500, 0.000)
Pd (0.798, 0.097, 0.803)
Pd (0.202, 0.903, 0.197)

Stability, highest: model two

Model one:
A relaxed structure of Ag2HgPd2, computed with PBE.

abc: 7.064 7.064 3.785
angles: 90.00 90.00 90.00
Sites, in units of the cell vectors:
Pd (0.363, 0.863, 0.000)
Pd (0.863, 0.637, 0.000)
Pd (0.637, 0.137, 0.000)
Pd (0.137, 0.363, 0.000)
Hg (0.000, 0.000, 0.000)
Hg (0.500, 0.500, 0.000)
Ag (0.159, 0.659, 0.500)
Ag (0.659, 0.841, 0.500)
Ag (0.841, 0.341, 0.500)
Ag (0.341, 0.159, 0.500)

Model two:
A relaxed structure of Ag2HgPd2, computed with PBE.

abc: 5.921 5.829 10.488
angles: 90.00 98.04 90.00
Sites, in units of the cell vectors:
Ag (0.656, 0.523, 0.108)
Ag (0.156, 0.977, 0.108)
Ag (0.844, 0.023, 0.892)
Ag (0.344, 0.477, 0.892)
Ag (0.952, 0.750, 0.309)
Ag (0.452, 0.750, 0.309)
Ag (0.548, 0.250, 0.691)
Ag (0.048, 0.250, 0.691)
Hg (0.452, 0.252, 0.311)
Hg (0.548, 0.748, 0.689)
Hg (0.952, 0.248, 0.311)
Hg (0.048, 0.752, 0.689)
Pd (0.649, 0.016, 0.117)
Pd (0.149, 0.484, 0.117)
Pd (0.851, 0.516, 0.883)
Pd (0.351, 0.984, 0.883)
Pd (0.750, 0.500, 0.501)
Pd (0.250, 0.000, 0.501)
Pd (0.750, 0.000, 0.499)
Pd (0.250, 0.500, 0.499)

Model three:
A relaxed structure of Ag2HgPd2, computed with PBE.

abc: 3.742 3.742 7.471
angles: 75.50 75.50 90.00
Sites, in units of the cell vectors:
Pd (0.750, 0.250, 0.500)
Pd (0.250, 0.750, 0.500)
Hg (0.000, 0.000, 0.000)
Ag (0.400, 0.400, 0.201)
Ag (0.600, 0.600, 0.799)

Stability, highest: model two

Model one:
A relaxed structure of Ag2HgPd, computed with PBE.

abc: 3.435 3.435 6.218
angles: 90.00 90.00 90.00
Sites, in units of the cell vectors:
Pd (0.500, 0.500, 0.000)
Hg (0.500, 0.500, 0.500)
Ag (0.000, 0.000, 0.766)
Ag (0.000, 0.000, 0.234)

Model two:
A relaxed structure of Ag2HgPd, computed with PBE.

abc: 4.673 4.673 4.678
angles: 60.04 60.04 60.00
Sites, in units of the cell vectors:
Ag (0.000, 0.000, 0.000)
Ag (0.250, 0.250, 0.250)
Hg (0.500, 0.500, 0.500)
Pd (0.750, 0.750, 0.750)

Model three:
A relaxed structure of Ag2HgPd, computed with PBE.

abc: 4.277 4.099 4.099
angles: 90.00 90.00 90.00
Sites, in units of the cell vectors:
Pd (0.500, 0.000, 0.000)
Hg (0.500, 0.500, 0.500)
Ag (0.000, 0.000, 0.500)
Ag (0.000, 0.500, 0.000)

Model four:
A relaxed structure of Ag2HgPd, computed with PBE.

abc: 4.681 4.681 4.681
angles: 60.00 60.00 60.00
Sites, in units of the cell vectors:
Pd (0.000, 0.000, 0.000)
Hg (0.500, 0.500, 0.500)
Ag (0.250, 0.250, 0.250)
Ag (0.750, 0.750, 0.750)

Stability, highest: model three